The following is a DFT calculation (PBE) of a relaxed structure of Na6In2Bi.

As for the density of states at the Fermi level: 3.121 states/eV/cell. The raw total energy is -18.622 eV/f.u. The value obtained for the total magnetic moment is 0.0 μB/cell.

Unit cell a=6.366 b=6.366 c=6.366 alpha=94.76 beta=94.76 gamma=94.76
Fractional coordinates of all 9 atoms:
Na  0.000  0.335  0.665
Na  0.000  0.665  0.335
Na  0.335  0.000  0.665
Na  0.335  0.665  0.000
Na  0.665  0.000  0.335
Na  0.665  0.335  0.000
In  0.151  0.151  0.151
In  0.849  0.849  0.849
Bi  0.500  0.500  0.500

=====

The following is a DFT calculation (PBE) of a relaxed structure of Ni5SbPt6.

As for the density of states at the Fermi level: 19.419 states/eV/cell. As for the uncorrected formation energy: -1.52 eV per formula unit. The value obtained for the total magnetic moment is 4.5 μB/cell.

Unit cell a=7.201 b=7.201 c=7.201 alpha=148.22 beta=118.47 gamma=70.93
Fractional coordinates of all 12 atoms:
Ni  0.000  0.000  0.000
Ni  0.169  0.669  0.500
Ni  0.330  0.330  0.000
Ni  0.670  0.670  0.000
Ni  0.831  0.331  0.500
Sb  0.500  0.000  0.500
Pt  0.075  0.831  0.244
Pt  0.234  0.500  0.734
Pt  0.414  0.169  0.244
Pt  0.586  0.831  0.756
Pt  0.766  0.500  0.266
Pt  0.925  0.169  0.756

=====

The following is a DFT calculation (PBE) of a relaxed structure of Cu3C.

As for the density of states at the Fermi level: 2.341 states/eV/cell. The raw total energy is -18.633 eV/f.u. The value obtained for the total magnetic moment is 0.0 μB/cell.

Unit cell a=4.451 b=4.451 c=2.989 alpha=90.00 beta=90.00 gamma=127.46
Fractional coordinates of all 4 atoms:
Cu  0.000  0.000  0.000
Cu  0.341  0.659  0.500
Cu  0.659  0.341  0.500
C  0.500  0.500  0.000

=====

Q: Among the records above, which one has the highest total magnetic moment?
A: Ni5SbPt6

=====

Q: What is the total magnetic moment in the second record?
A: 4.5 μB/cell

=====

Repeat the second record exactly.
The following is a DFT calculation (PBE) of a relaxed structure of Ni5SbPt6.

As for the density of states at the Fermi level: 19.419 states/eV/cell. As for the uncorrected formation energy: -1.52 eV per formula unit. The value obtained for the total magnetic moment is 4.5 μB/cell.

Unit cell a=7.201 b=7.201 c=7.201 alpha=148.22 beta=118.47 gamma=70.93
Fractional coordinates of all 12 atoms:
Ni  0.000  0.000  0.000
Ni  0.169  0.669  0.500
Ni  0.330  0.330  0.000
Ni  0.670  0.670  0.000
Ni  0.831  0.331  0.500
Sb  0.500  0.000  0.500
Pt  0.075  0.831  0.244
Pt  0.234  0.500  0.734
Pt  0.414  0.169  0.244
Pt  0.586  0.831  0.756
Pt  0.766  0.500  0.266
Pt  0.925  0.169  0.756

=====

Q: Which value of total magnetic moment does entry 2 give?
A: 4.5 μB/cell